Here is crystalline ErAlSn2 at its relaxed geometry from Alexandria via LeMat-Bulk. Energies are from GGA-PBE.

Results
Calculated total energy (eV/atom): -4.248
DFT formation energy (eV/atom): -0.170

Cell: 4.3738 4.3738 19.3132 Å, 90.00 90.00 120.00°
Space group R3m (No. 160, hexagonal axes)
Asymmetric unit:
Er1 0.0000 0.0000 0.0000 (multiplicity 3)
Al1 0.0000 0.0000 0.8301 (multiplicity 3)
Sn1 0.0000 0.0000 0.4239 (multiplicity 3)
Sn2 0.0000 0.0000 0.5766 (multiplicity 3)